Below is a geometry-optimized Cs4U3Mo3O20 structure, with properties calculated at the PBE with a Hubbard U level.

The value obtained for the density is 5.09 g cm⁻³. The electronic total energy comes out at -7.617 eV/atom. As for the density of states at the Fermi level: 0.000 states/eV per atom. For the size of the total moment, the calculation gives 0.000 μB/atom. As for the symmetry: P1, No. 1.

Unit cell a=7.786 b=8.061 c=9.855 alpha=79.50 beta=83.54 gamma=88.35
Sites, in units of the cell vectors:
O  0.346  0.894  0.416
O  0.878  0.379  0.698
O  0.909  0.293  0.109
O  0.685  0.198  0.540
O  0.743  0.972  0.187
O  0.218  0.498  0.120
O  0.042  0.095  0.637
O  0.070  0.743  0.297
O  0.056  0.735  0.606
O  0.995  0.802  0.034
O  0.966  0.547  0.905
O  0.752  0.574  0.207
O  0.245  0.861  0.805
O  0.329  0.543  0.473
O  0.775  0.853  0.791
O  0.953  0.055  0.381
O  0.990  0.398  0.395
O  0.952  0.122  0.909
O  0.634  0.350  0.928
O  0.210  0.064  0.112
Mo  0.912  0.200  0.502
Mo  0.199  0.727  0.447
Mo  0.859  0.346  0.882
Cs  0.689  0.712  0.504
Cs  0.479  0.252  0.262
Cs  0.365  0.256  0.740
Cs  0.488  0.787  0.038
U  0.009  0.853  0.805
U  0.984  0.536  0.157
U  0.976  0.021  0.147